VASP calculation (PBE) on crystalline CeYSc2S6 at its relaxed geometry.

Cell lengths 6.7827, 6.7827, 7.1159 Å; angles 61.54, 61.54, 60.00 degrees
Last column: magnetic moment on the atom in μB.
Sites, in units of the cell vectors:
Sc (0.0108, 0.0108, 0.9677)  0.03
Sc (0.5140, 0.5140, 0.4581)  0.03
S (0.2378, 0.8891, 0.2409)  -0.01
S (0.3714, 0.7382, 0.7404)  -0.01
S (0.8891, 0.6322, 0.2409)  -0.01
S (0.1499, 0.3714, 0.7404)  -0.01
S (0.7382, 0.1500, 0.7404)  -0.01
S (0.6322, 0.2378, 0.2409)  -0.01
Y (0.3124, 0.3124, 0.0628)  0.01
Ce (0.8057, 0.8057, 0.5828)  0.89

Calculated values
The value obtained for the total energy is -69.12 eV per formula unit. The uncorrected formation energy comes out at -44.50 kcal/mol of atoms.